First-principles (PBE) data for a relaxed structure of SmHo4Pu3S8, as listed in Alexandria via LeMat-Bulk.

a b c (Å): 7.875 7.875 7.875
angles (deg): 59.64 59.64 59.64
Atoms (fractional coordinates):
1 Sm 0.000 0.000 0.000
2 Ho 0.000 0.000 0.500
3 Ho 0.000 0.500 0.000
4 Ho 0.500 0.000 0.000
5 Ho 0.500 0.500 0.500
6 Pu 0.000 0.500 0.500
7 Pu 0.500 0.000 0.500
8 Pu 0.500 0.500 0.000
9 S 0.248 0.248 0.248
10 S 0.250 0.746 0.746
11 S 0.254 0.254 0.750
12 S 0.254 0.750 0.254
13 S 0.746 0.250 0.746
14 S 0.746 0.746 0.250
15 S 0.750 0.254 0.254
16 S 0.752 0.752 0.752

Properties
calculated density: 8.72 g/cm³
raw formation energy: -1.932 eV per atom
V: 21.40 Å³ per atom
DOS at the Fermi energy: 22.88 states/eV/cell